[1]
This record from Alexandria via LeMat-Bulk describes an optimized crystal structure of Ba2NaSrZn. The functional is PBE.

Structure (CIF):
```
data_Ba2NaSrZn
_chemical_formula_sum 'Ba2 Na1 Sr1 Zn1'
_space_group_name_H-M_alt 'P 4/m m m'
_space_group_IT_number 123
_space_group_name_Hall '-P 4 2'
_cell_length_a 6.5043
_cell_length_b 6.5043
_cell_length_c 6.3345
_cell_angle_alpha 90.00
_cell_angle_beta 90.00
_cell_angle_gamma 90.00
loop_
_atom_site_label
_atom_site_fract_x
_atom_site_fract_y
_atom_site_fract_z
Ba1 0.0000 0.5000 0.0000
Na1 0.0000 0.0000 0.5000
Sr1 0.5000 0.5000 0.5000
Zn1 0.5000 0.5000 0.0000
```

Computed properties:
energy relative to the elements = 0 meV per atom
VASP energy = -1.624 eV/atom
relative energy among the computed polymorphs = 0.0 kJ/mol of formula units

***

[2]
This record from Alexandria via LeMat-Bulk describes an optimized crystal structure of KTaPS6. The functional is PBE.

Structure (CIF):
```
data_KTaPS6
_chemical_formula_sum 'K1 Ta1 P1 S6'
_space_group_name_H-M_alt 'P 3 1 2'
_space_group_IT_number 149
_cell_length_a 6.0969
_cell_length_b 6.0969
_cell_length_c 7.3611
_cell_angle_alpha 90.00
_cell_angle_beta 90.00
_cell_angle_gamma 120.00
loop_
_space_group_symop_operation_xyz
'x,y,z'
'-y,x-y,z'
'-x+y,-x,z'
'-y,-x,-z'
'-x+y,y,-z'
'x,x-y,-z'
loop_
_atom_site_label
_atom_site_fract_x
_atom_site_fract_y
_atom_site_fract_z
K1 0.0000 0.0000 0.0000
Ta1 0.6667 0.3333 0.5000
P1 0.3333 0.6667 0.5000
S1 0.0224 0.3860 0.3177
```

Computed properties:
E_form (uncorrected) = -471 meV per atom
VASP energy = -5.263 eV/atom

***

[3]
This record from Alexandria via LeMat-Bulk describes an optimized crystal structure of Be3P. The functional is PBE.

Structure (CIF):
```
data_Be3P
_chemical_formula_sum 'Be12 P4'
_space_group_name_H-M_alt 'C m c m'
_space_group_IT_number 63
_space_group_name_Hall '-C 2c 2'
_cell_length_a 5.6749
_cell_length_b 7.6035
_cell_length_c 3.6838
_cell_angle_alpha 90.00
_cell_angle_beta 90.00
_cell_angle_gamma 90.00
loop_
_atom_site_label
_atom_site_fract_x
_atom_site_fract_y
_atom_site_fract_z
Be1 0.0000 0.1751 0.2500
Be2 0.2133 0.0797 0.7500
P1 0.0000 0.3386 0.7500
```

Computed properties:
energy relative to the elements = 300 meV per atom
VASP energy = -3.847 eV/atom
relative energy among the computed polymorphs = 35.2 kJ/mol of formula units

***

[4]
This record from Alexandria via LeMat-Bulk describes an optimized crystal structure of YP. The functional is PBE.

Structure (CIF):
```
data_YP
_chemical_formula_sum 'Y2 P2'
_space_group_name_H-M_alt 'P 4/n m m'
_space_group_IT_number 129
_cell_length_a 4.9741
_cell_length_b 4.9741
_cell_length_c 3.5293
_cell_angle_alpha 90.00
_cell_angle_beta 90.00
_cell_angle_gamma 90.00
loop_
_space_group_symop_operation_xyz
'x,y,z'
'-x,-y,-z'
'-y+1/2,x,z'
'y+1/2,-x,-z'
'-x+1/2,-y+1/2,z'
'x+1/2,y+1/2,-z'
'y,-x+1/2,z'
'-y,x+1/2,-z'
'x+1/2,-y,-z'
'-x+1/2,y,z'
'-y,-x,-z'
'y,x,z'
'-x,y+1/2,-z'
'x,-y+1/2,z'
'y+1/2,x+1/2,-z'
'-y+1/2,-x+1/2,z'
loop_
_atom_site_label
_atom_site_fract_x
_atom_site_fract_y
_atom_site_fract_z
Y1 0.2500 0.7500 0.0000
P1 0.2500 0.2500 0.4016
```

Computed properties:
energy relative to the elements = -1103 meV per atom
VASP energy = -7.040 eV/atom

***

[5]
This record from Alexandria via LeMat-Bulk describes an optimized crystal structure of KTl2Rh. The functional is PBE.

Structure (CIF):
```
data_KTl2Rh
_chemical_formula_sum 'K3 Tl6 Rh3'
_space_group_name_H-M_alt 'R 3 m'
_space_group_IT_number 160
_space_group_name_Hall 'R 3 -2"'
_cell_length_a 4.5690
_cell_length_b 4.5690
_cell_length_c 20.1769
_cell_angle_alpha 90.00
_cell_angle_beta 90.00
_cell_angle_gamma 120.00
loop_
_atom_site_label
_atom_site_fract_x
_atom_site_fract_y
_atom_site_fract_z
K1 0.0000 0.0000 0.0000
Tl1 0.0000 0.0000 0.2093
Tl2 0.0000 0.0000 0.4475
Rh1 0.0000 0.0000 0.8253
```

Computed properties:
energy relative to the elements = 29 meV per atom
VASP energy = -3.266 eV/atom

***

[6]
This record from Alexandria via LeMat-Bulk describes an optimized crystal structure of In2ReAu. The functional is PBE.

Structure (CIF):
```
data_In2ReAu
_chemical_formula_sum 'In4 Re2 Au2'
_space_group_name_H-M_alt 'I m m 2'
_space_group_IT_number 44
_cell_length_a 2.8986
_cell_length_b 4.6952
_cell_length_c 12.3260
_cell_angle_alpha 90.00
_cell_angle_beta 90.00
_cell_angle_gamma 90.00
loop_
_space_group_symop_operation_xyz
'x,y,z'
'-x,-y,z'
'-x,y,z'
'x,-y,z'
'x+1/2,y+1/2,z+1/2'
'-x+1/2,-y+1/2,z+1/2'
'-x+1/2,y+1/2,z+1/2'
'x+1/2,-y+1/2,z+1/2'
loop_
_atom_site_label
_atom_site_fract_x
_atom_site_fract_y
_atom_site_fract_z
In1 0.0000 0.0000 0.0000
In2 0.0000 0.5000 0.2088
Re1 0.0000 0.5000 0.6982
Au1 0.0000 0.0000 0.3957
```

Computed properties:
energy relative to the elements = 354 meV per atom
VASP energy = -4.947 eV/atom
relative energy among the computed polymorphs = 2.0 kJ/mol of formula units

***

[7]
This record from Alexandria via LeMat-Bulk describes an optimized crystal structure of TiV2Pd6. The functional is PBE.

Structure (CIF):
```
data_TiV2Pd6
_chemical_formula_sum 'Ti1 V2 Pd6'
_space_group_name_H-M_alt 'P -3 1 m'
_space_group_IT_number 162
_space_group_name_Hall '-P 3 2'
_cell_length_a 7.5814
_cell_length_b 7.5814
_cell_length_c 2.7122
_cell_angle_alpha 90.00
_cell_angle_beta 90.00
_cell_angle_gamma 120.00
loop_
_atom_site_label
_atom_site_fract_x
_atom_site_fract_y
_atom_site_fract_z
Ti1 0.0000 0.0000 0.0000
V1 0.3333 0.6667 0.5000
Pd1 0.0000 0.3353 0.2448
```

Computed properties:
energy relative to the elements = -271 meV per atom
VASP energy = -6.636 eV/atom

***

[8]
This record from Alexandria via LeMat-Bulk describes an optimized crystal structure of CePa2B6. The functional is PBE.

Structure (CIF):
```
data_CePa2B6
_chemical_formula_sum 'Ce1 Pa2 B6'
_space_group_name_H-M_alt 'P 6/m m m'
_space_group_IT_number 191
_space_group_name_Hall '-P 6 2'
_cell_length_a 5.5328
_cell_length_b 5.5328
_cell_length_c 4.1029
_cell_angle_alpha 90.00
_cell_angle_beta 90.00
_cell_angle_gamma 120.00
loop_
_atom_site_label
_atom_site_fract_x
_atom_site_fract_y
_atom_site_fract_z
Ce1 0.0000 0.0000 0.0000
Pa1 0.3333 0.6667 0.0000
B1 0.0000 0.3356 0.5000
```

Computed properties:
energy relative to the elements = -601 meV per atom
VASP energy = -7.822 eV/atom

***

[9]
This record from Alexandria via LeMat-Bulk describes an optimized crystal structure of Ba2CuTc2. The functional is PBE.

Structure (CIF):
```
data_Ba2CuTc2
_chemical_formula_sum 'Ba4 Cu2 Tc4'
_space_group_name_H-M_alt 'I 4/m m m'
_space_group_IT_number 139
_space_group_name_Hall '-I 4 2'
_cell_length_a 6.2406
_cell_length_b 6.2406
_cell_length_c 7.4528
_cell_angle_alpha 90.00
_cell_angle_beta 90.00
_cell_angle_gamma 90.00
loop_
_atom_site_label
_atom_site_fract_x
_atom_site_fract_y
_atom_site_fract_z
Ba1 0.0000 0.5000 0.2500
Cu1 0.0000 0.0000 0.0000
Tc1 0.0000 0.0000 0.3530
```

Computed properties:
energy relative to the elements = 972 meV per atom
VASP energy = -4.763 eV/atom
relative energy among the computed polymorphs = 124.2 kJ/mol of formula units

***

[10]
This record from Alexandria via LeMat-Bulk describes an optimized crystal structure of RbBi2Te2. The functional is PBE.

Structure (CIF):
```
data_RbBi2Te2
_chemical_formula_sum 'Rb2 Bi4 Te4'
_space_group_name_H-M_alt 'P 4/m b m'
_space_group_IT_number 127
_space_group_name_Hall '-P 4 2ab'
_cell_length_a 9.4719
_cell_length_b 9.4719
_cell_length_c 4.1368
_cell_angle_alpha 90.00
_cell_angle_beta 90.00
_cell_angle_gamma 90.00
loop_
_atom_site_label
_atom_site_fract_x
_atom_site_fract_y
_atom_site_fract_z
Rb1 0.0000 0.0000 0.0000
Bi1 0.1291 0.3709 0.0000
Te1 0.2083 0.7083 0.5000
```

Computed properties:
E_form (uncorrected) = -233 meV per atom
VASP energy = -3.236 eV/atom
relative energy among the computed polymorphs = 40.4 kJ/mol of formula units

***

[11]
This record from Alexandria via LeMat-Bulk describes an optimized crystal structure of TaMnH2. The functional is PBE.

Structure (CIF):
```
data_TaMnH2
_chemical_formula_sum 'Ta3 Mn3 H6'
_space_group_name_H-M_alt 'R -3 m'
_space_group_IT_number 166
_space_group_name_Hall '-R 3 2"'
_cell_length_a 3.0418
_cell_length_b 3.0418
_cell_length_c 15.0478
_cell_angle_alpha 90.00
_cell_angle_beta 90.00
_cell_angle_gamma 120.00
loop_
_atom_site_label
_atom_site_fract_x
_atom_site_fract_y
_atom_site_fract_z
Ta1 0.0000 0.0000 0.0000
Mn1 0.0000 0.0000 0.5000
H1 0.0000 0.0000 0.3828
```

Computed properties:
VASP energy = -6.832 eV/atom
relative energy among the computed polymorphs = 57.6 kJ/mol of formula units

***

[12]
This record from Alexandria via LeMat-Bulk describes an optimized crystal structure of NaMgSb2. The functional is PBE.

Structure (CIF):
```
data_NaMgSb2
_chemical_formula_sum 'Na1 Mg1 Sb2'
_space_group_name_H-M_alt 'P 4/m m m'
_space_group_IT_number 123
_space_group_name_Hall '-P 4 2'
_cell_length_a 4.8413
_cell_length_b 4.8413
_cell_length_c 4.3212
_cell_angle_alpha 90.00
_cell_angle_beta 90.00
_cell_angle_gamma 90.00
loop_
_atom_site_label
_atom_site_fract_x
_atom_site_fract_y
_atom_site_fract_z
Na1 0.0000 0.0000 0.0000
Mg1 0.5000 0.5000 0.0000
Sb1 0.0000 0.5000 0.5000
```

Computed properties:
E_form (uncorrected) = -215 meV per atom
VASP energy = -3.004 eV/atom

***

Among the records above, which one has the lowest VASP energy?
CePa2B6